1.
First-principles (PBE-GGA) data for a relaxed EuAlIn2 crystal, as listed in Alexandria via LeMat-Bulk.

calculated volume: 27.08 A^3/atom
calculated total energy: -5.09 eV per atom
energy of formation: -0.22 eV/atom

a = 4.7051 Å, b = 4.7051 Å, c = 16.9525 Å
α = 90.00°, β = 90.00°, γ = 120.00°
Space group R-3m (No. 166, hexagonal axes)
Unique sites:
1 Eu 0.0000 0.0000 0.0000 x3
2 Al 0.0000 0.0000 0.5000 x3
3 In 0.0000 0.0000 0.2248 x6

=====

2.
First-principles (PBE-GGA) data for a relaxed EuAlIn2 crystal, as listed in Alexandria via LeMat-Bulk.

calculated volume: 24.55 A^3/atom
calculated total energy: -5.16 eV per atom
energy of formation: -0.29 eV/atom

a = 4.5983 Å, b = 4.5983 Å, c = 4.6442 Å
α = 90.00°, β = 90.00°, γ = 90.00°
Space group P4/mmm (No. 123)
Unique sites:
1 Eu 0.0000 0.0000 0.0000 x1
2 Al 0.5000 0.5000 0.0000 x1
3 In 0.0000 0.5000 0.5000 x2

=====

3.
First-principles (PBE-GGA) data for a relaxed Eu2AlIn crystal, as listed in Alexandria via LeMat-Bulk.

calculated volume: 29.09 A^3/atom
distance to the lowest polymorph of the same formula: 6 meV per atom
calculated total energy: -7.08 eV per atom
energy of formation: -0.33 eV/atom

a = 7.7499 Å, b = 7.7499 Å, c = 7.7499 Å
α = 90.00°, β = 90.00°, γ = 90.00°
Space group Fm-3m (No. 225)
Unique sites:
1 Eu 0.2500 0.2500 0.2500 x8
2 Al 0.0000 0.0000 0.0000 x4
3 In 0.0000 0.0000 0.5000 x4